Record 1
Below is crystalline CaZn at its relaxed geometry, with properties calculated at the PBE level.

Structure (CIF):
```
data_CaZn
_chemical_formula_sum 'Ca1 Zn1'
_symmetry_space_group_name_H-M 'P -6 m 2'
_symmetry_Int_Tables_number 187
_symmetry_space_group_name_Hall 'P -6 2'
_cell_length_a 3.9868
_cell_length_b 3.9868
_cell_length_c 4.1520
_cell_angle_alpha 90.00
_cell_angle_beta 90.00
_cell_angle_gamma 120.00
loop_
_atom_site_label
_atom_site_type_symbol
_atom_site_fract_x
_atom_site_fract_y
_atom_site_fract_z
_atom_site_occupancy
Ca1 Ca 0.0000 0.0000 0.0000 1
Zn1 Zn 0.6667 0.3333 0.5000 1
```

Formation energy = -0.10 eV/f.u.
N(E_F) = 1.35 states/eV/f.u.
Total DFT energy (no corrections) = -1.690 eV per atom
Volume = 57 Å³ per cell

Record 2
Below is crystalline Ba2Ge3BiPd4 at its relaxed geometry, with properties calculated at the PBE level.

Structure (CIF):
```
data_Ba2Ge3BiPd4
_chemical_formula_sum 'Ba2 Ge3 Bi1 Pd4'
_symmetry_space_group_name_H-M 'P -4 m 2'
_symmetry_Int_Tables_number 115
_cell_length_a 4.6385
_cell_length_b 4.6385
_cell_length_c 10.6520
_cell_angle_alpha 90.00
_cell_angle_beta 90.00
_cell_angle_gamma 90.00
loop_
_symmetry_equiv_pos_as_xyz
'x,y,z'
'y,-x,-z'
'-x,-y,z'
'-y,x,-z'
'-x,y,z'
'-y,-x,-z'
'x,-y,z'
'y,x,-z'
loop_
_atom_site_label
_atom_site_type_symbol
_atom_site_fract_x
_atom_site_fract_y
_atom_site_fract_z
_atom_site_occupancy
Ba1 Ba 0.0000 0.5000 0.2421 1
Ge1 Ge 0.0000 0.5000 0.8911 1
Ge2 Ge 0.5000 0.5000 0.5000 1
Bi1 Bi 0.0000 0.0000 0.5000 1
Pd1 Pd 0.0000 0.0000 0.0000 1
Pd2 Pd 0.0000 0.5000 0.6471 1
Pd3 Pd 0.5000 0.5000 0.0000 1
```

Formation energy = -6.28 eV/f.u.
N(E_F) = 5.85 states/eV/f.u.
Total DFT energy (no corrections) = -4.863 eV per atom
Volume = 229 Å³ per cell

Record 3
Below is crystalline PrNd5Th at its relaxed geometry, with properties calculated at the PBE level.

Structure (CIF):
```
data_PrNd5Th
_chemical_formula_sum 'Pr1 Nd5 Th1'
_symmetry_space_group_name_H-M 'P 4/m m m'
_symmetry_Int_Tables_number 123
_symmetry_space_group_name_Hall '-P 4 2'
_cell_length_a 5.7773
_cell_length_b 5.7773
_cell_length_c 7.9107
_cell_angle_alpha 90.00
_cell_angle_beta 90.00
_cell_angle_gamma 90.00
loop_
_atom_site_label
_atom_site_type_symbol
_atom_site_fract_x
_atom_site_fract_y
_atom_site_fract_z
_atom_site_occupancy
Pr1 Pr 0.0000 0.0000 0.0000 1
Nd1 Nd 0.0000 0.5000 0.2825 1
Nd2 Nd 0.5000 0.5000 0.0000 1
Th1 Th 0.0000 0.0000 0.5000 1
```

Formation energy = 2.23 eV/f.u.
N(E_F) = 10.26 states/eV/f.u.
Total DFT energy (no corrections) = -4.830 eV per atom
Volume = 264 Å³ per cell

Record 4
Below is crystalline Dy3ScCo2 at its relaxed geometry, with properties calculated at the PBE level.

Structure (CIF):
```
data_Dy3ScCo2
_chemical_formula_sum 'Dy6 Sc2 Co4'
_symmetry_space_group_name_H-M 'I m m m'
_symmetry_Int_Tables_number 71
_symmetry_space_group_name_Hall '-I 2 2'
_cell_length_a 4.0696
_cell_length_b 4.6073
_cell_length_c 14.0471
_cell_angle_alpha 90.00
_cell_angle_beta 90.00
_cell_angle_gamma 90.00
loop_
_atom_site_label
_atom_site_type_symbol
_atom_site_fract_x
_atom_site_fract_y
_atom_site_fract_z
_atom_site_occupancy
Dy1 Dy 0.0000 0.0000 0.0000 1
Dy2 Dy 0.0000 0.5000 0.3116 1
Sc1 Sc 0.0000 0.0000 0.5000 1
Co1 Co 0.0000 0.5000 0.1230 1
```

Formation energy = -0.46 eV/f.u.
N(E_F) = 4.60 states/eV/f.u.
Total DFT energy (no corrections) = -5.801 eV per atom
Volume = 263 Å³ per cell

Record 5
Below is crystalline TaMn3Pd at its relaxed geometry, with properties calculated at the PBE level.

Structure (CIF):
```
data_TaMn3Pd
_chemical_formula_sum 'Ta1 Mn3 Pd1'
_symmetry_space_group_name_H-M 'P m -3 m'
_symmetry_Int_Tables_number 221
_symmetry_space_group_name_Hall '-P 4 2 3'
_cell_length_a 4.6806
_cell_length_b 4.6806
_cell_length_c 4.6806
_cell_angle_alpha 90.00
_cell_angle_beta 90.00
_cell_angle_gamma 90.00
loop_
_atom_site_label
_atom_site_type_symbol
_atom_site_fract_x
_atom_site_fract_y
_atom_site_fract_z
_atom_site_occupancy
Ta1 Ta 0.0000 0.0000 0.0000 1
Mn1 Mn 0.0000 0.5000 0.5000 1
Pd1 Pd 0.5000 0.5000 0.5000 1
```

Formation energy = 6.39 eV/f.u.
N(E_F) = 6.75 states/eV/f.u.
Total DFT energy (no corrections) = -7.632 eV per atom
E above lowest polymorph = 0 meV/atom
Volume = 103 Å³ per cell

Record 6
Below is crystalline YBeZn2Au4 at its relaxed geometry, with properties calculated at the PBE level.

Structure (CIF):
```
data_YBeZn2Au4
_chemical_formula_sum 'Y3 Be3 Zn6 Au12'
_symmetry_space_group_name_H-M 'R -3 m'
_symmetry_Int_Tables_number 166
_symmetry_space_group_name_Hall '-R 3 2"'
_cell_length_a 4.4734
_cell_length_b 4.4734
_cell_length_c 24.3704
_cell_angle_alpha 90.00
_cell_angle_beta 90.00
_cell_angle_gamma 120.00
loop_
_atom_site_label
_atom_site_type_symbol
_atom_site_fract_x
_atom_site_fract_y
_atom_site_fract_z
_atom_site_occupancy
Y1 Y 0.0000 0.0000 0.0000 1
Be1 Be 0.0000 0.0000 0.5000 1
Zn1 Zn 0.0000 0.0000 0.2490 1
Au1 Au 0.0000 0.0000 0.1353 1
Au2 Au 0.0000 0.0000 0.4002 1
```

Formation energy = -3.05 eV/f.u.
N(E_F) = 1.89 states/eV/f.u.
Total DFT energy (no corrections) = -3.613 eV per atom
Volume = 422 Å³ per cell

Record 7
Below is crystalline CeAs2Br8 at its relaxed geometry, with properties calculated at the PBE level.

Structure (CIF):
```
data_CeAs2Br8
_chemical_formula_sum 'Ce2 As4 Br16'
_symmetry_space_group_name_H-M 'C 1 2/m 1'
_symmetry_Int_Tables_number 12
_cell_length_a 12.0483
_cell_length_b 10.8015
_cell_length_c 7.5967
_cell_angle_alpha 90.00
_cell_angle_beta 106.92
_cell_angle_gamma 90.00
loop_
_symmetry_equiv_pos_as_xyz
'x,y,z'
'-x,-y,-z'
'-x,y,-z'
'x,-y,z'
'x+1/2,y+1/2,z'
'-x+1/2,-y+1/2,-z'
'-x+1/2,y+1/2,-z'
'x+1/2,-y+1/2,z'
loop_
_atom_site_label
_atom_site_type_symbol
_atom_site_fract_x
_atom_site_fract_y
_atom_site_fract_z
_atom_site_occupancy
Ce1 Ce 0.0000 0.0000 0.0000 1
As1 As 0.1725 0.0000 0.5739 1
Br1 Br 0.0687 0.1783 0.7791 1
Br2 Br 0.1412 0.5000 0.2221 1
Br3 Br 0.2352 0.0000 0.2814 1
```

N(E_F) = 8.67 states/eV/f.u.
E_form (uncorrected) = -8.4 eV per formula unit
Total DFT energy (no corrections) = -3.367 eV per atom
Volume = 946 Å³ per cell

Record 8
Below is crystalline Rb2TeS at its relaxed geometry, with properties calculated at the PBE level.

Structure (CIF):
```
data_Rb2TeS
_chemical_formula_sum 'Rb4 Te2 S2'
_symmetry_space_group_name_H-M 'P 1 21/m 1'
_symmetry_Int_Tables_number 11
_cell_length_a 5.2585
_cell_length_b 9.3827
_cell_length_c 6.7901
_cell_angle_alpha 90.00
_cell_angle_beta 102.49
_cell_angle_gamma 90.00
loop_
_symmetry_equiv_pos_as_xyz
'x,y,z'
'-x,-y,-z'
'-x,y+1/2,-z'
'x,-y+1/2,z'
loop_
_atom_site_label
_atom_site_type_symbol
_atom_site_fract_x
_atom_site_fract_y
_atom_site_fract_z
_atom_site_occupancy
Rb1 Rb 0.2394 0.0350 0.2282 1
Te1 Te 0.2869 0.2500 0.7278 1
S1 S 0.3664 0.7500 0.9601 1
```

E_form (uncorrected) = -3.2 eV per formula unit
Total DFT energy (no corrections) = -3.111 eV per atom
E above lowest polymorph = 64 meV/atom
Volume = 327 Å³ per cell

Record 9
Below is crystalline TaZnOs at its relaxed geometry, with properties calculated at the PBE level.

Structure (CIF):
```
data_TaZnOs
_chemical_formula_sum 'Ta4 Zn4 Os4'
_symmetry_space_group_name_H-M 'F m m 2'
_symmetry_Int_Tables_number 42
_symmetry_space_group_name_Hall 'F 2 -2'
_cell_length_a 3.0812
_cell_length_b 4.5901
_cell_length_c 13.4611
_cell_angle_alpha 90.00
_cell_angle_beta 90.00
_cell_angle_gamma 90.00
loop_
_atom_site_label
_atom_site_type_symbol
_atom_site_fract_x
_atom_site_fract_y
_atom_site_fract_z
_atom_site_occupancy
Ta1 Ta 0.0000 0.0000 0.0000 1
Zn1 Zn 0.0000 0.0000 0.3267 1
Os1 Os 0.0000 0.0000 0.6628 1
```

Formation energy = 0.48 eV/f.u.
N(E_F) = 3.06 states/eV/f.u.
Total DFT energy (no corrections) = -7.960 eV per atom
E above lowest polymorph = 233 meV/atom
Volume = 190 Å³ per cell

Record 10
Below is crystalline Pr3Y6Th2Sc at its relaxed geometry, with properties calculated at the PBE level.

Structure (CIF):
```
data_Pr3Y6Th2Sc
_chemical_formula_sum 'Pr6 Y12 Th4 Sc2'
_symmetry_space_group_name_H-M 'C 1 2/m 1'
_symmetry_Int_Tables_number 12
_cell_length_a 6.1993
_cell_length_b 10.7326
_cell_length_c 11.8574
_cell_angle_alpha 90.00
_cell_angle_beta 100.04
_cell_angle_gamma 90.00
loop_
_symmetry_equiv_pos_as_xyz
'x,y,z'
'-x,-y,-z'
'-x,y,-z'
'x,-y,z'
'x+1/2,y+1/2,z'
'-x+1/2,-y+1/2,-z'
'-x+1/2,y+1/2,-z'
'x+1/2,-y+1/2,z'
loop_
_atom_site_label
_atom_site_type_symbol
_atom_site_fract_x
_atom_site_fract_y
_atom_site_fract_z
_atom_site_occupancy
Pr1 Pr 0.0000 0.0000 0.0000 1
Pr2 Pr 0.0000 0.3337 0.0000 1
Y1 Y 0.2469 0.0000 0.7427 1
Y2 Y 0.2475 0.3332 0.7424 1
Th1 Th 0.0000 0.1665 0.5000 1
Sc1 Sc 0.0000 0.5000 0.5000 1
```

Formation energy = 0.30 eV/f.u.
N(E_F) = 16.98 states/eV/f.u.
Total DFT energy (no corrections) = -6.166 eV per atom
Volume = 777 Å³ per cell

Record 11
Below is crystalline TlFe2As at its relaxed geometry, with properties calculated at the PBE level.

Structure (CIF):
```
data_TlFe2As
_chemical_formula_sum 'Tl1 Fe2 As1'
_symmetry_space_group_name_H-M 'P 1 m 1'
_symmetry_Int_Tables_number 6
_cell_length_a 3.2017
_cell_length_b 3.8773
_cell_length_c 5.9243
_cell_angle_alpha 90.00
_cell_angle_beta 105.66
_cell_angle_gamma 90.00
loop_
_symmetry_equiv_pos_as_xyz
'x,y,z'
'x,-y,z'
loop_
_atom_site_label
_atom_site_type_symbol
_atom_site_fract_x
_atom_site_fract_y
_atom_site_fract_z
_atom_site_occupancy
Tl1 Tl 0.0000 0.0000 0.0000 1
Fe1 Fe 0.2516 0.0000 0.5097 1
Fe2 Fe 0.3792 0.5000 0.7630 1
As1 As 0.7191 0.5000 0.4441 1
```

Formation energy = 1.20 eV/f.u.
N(E_F) = 2.95 states/eV/f.u.
Total DFT energy (no corrections) = -5.685 eV per atom
E above lowest polymorph = 104 meV/atom
Volume = 71 Å³ per cell

Record 12
Below is crystalline SmMgIr at its relaxed geometry, with properties calculated at the PBE level.

Structure (CIF):
```
data_SmMgIr
_chemical_formula_sum 'Sm4 Mg4 Ir4'
_symmetry_space_group_name_H-M 'F -4 3 m'
_symmetry_Int_Tables_number 216
_symmetry_space_group_name_Hall 'F -4 2 3'
_cell_length_a 6.6433
_cell_length_b 6.6433
_cell_length_c 6.6433
_cell_angle_alpha 90.00
_cell_angle_beta 90.00
_cell_angle_gamma 90.00
loop_
_atom_site_label
_atom_site_type_symbol
_atom_site_fract_x
_atom_site_fract_y
_atom_site_fract_z
_atom_site_occupancy
Sm1 Sm 0.0000 0.0000 0.0000 1
Mg1 Mg 0.0000 0.0000 0.5000 1
Ir1 Ir 0.2500 0.2500 0.7500 1
```

Formation energy = -1.37 eV/f.u.
N(E_F) = 0.72 states/eV/f.u.
Total DFT energy (no corrections) = -5.515 eV per atom
Volume = 293 Å³ per cell

What did the seventh record say?
Below is crystalline CeAs2Br8 at its relaxed geometry, with properties calculated at the PBE level.

Structure (CIF):
```
data_CeAs2Br8
_chemical_formula_sum 'Ce2 As4 Br16'
_symmetry_space_group_name_H-M 'C 1 2/m 1'
_symmetry_Int_Tables_number 12
_cell_length_a 12.0483
_cell_length_b 10.8015
_cell_length_c 7.5967
_cell_angle_alpha 90.00
_cell_angle_beta 106.92
_cell_angle_gamma 90.00
loop_
_symmetry_equiv_pos_as_xyz
'x,y,z'
'-x,-y,-z'
'-x,y,-z'
'x,-y,z'
'x+1/2,y+1/2,z'
'-x+1/2,-y+1/2,-z'
'-x+1/2,y+1/2,-z'
'x+1/2,-y+1/2,z'
loop_
_atom_site_label
_atom_site_type_symbol
_atom_site_fract_x
_atom_site_fract_y
_atom_site_fract_z
_atom_site_occupancy
Ce1 Ce 0.0000 0.0000 0.0000 1
As1 As 0.1725 0.0000 0.5739 1
Br1 Br 0.0687 0.1783 0.7791 1
Br2 Br 0.1412 0.5000 0.2221 1
Br3 Br 0.2352 0.0000 0.2814 1
```

N(E_F) = 8.67 states/eV/f.u.
E_form (uncorrected) = -8.4 eV per formula unit
Total DFT energy (no corrections) = -3.367 eV per atom
Volume = 946 Å³ per cell

What is the total DFT energy (no corrections) in the second record? -4.863 eV per atom

Among the records above, which one has the lowest total DFT energy (no corrections)? TaZnOs

Repeat the ninth record exactly.
Below is crystalline TaZnOs at its relaxed geometry, with properties calculated at the PBE level.

Structure (CIF):
```
data_TaZnOs
_chemical_formula_sum 'Ta4 Zn4 Os4'
_symmetry_space_group_name_H-M 'F m m 2'
_symmetry_Int_Tables_number 42
_symmetry_space_group_name_Hall 'F 2 -2'
_cell_length_a 3.0812
_cell_length_b 4.5901
_cell_length_c 13.4611
_cell_angle_alpha 90.00
_cell_angle_beta 90.00
_cell_angle_gamma 90.00
loop_
_atom_site_label
_atom_site_type_symbol
_atom_site_fract_x
_atom_site_fract_y
_atom_site_fract_z
_atom_site_occupancy
Ta1 Ta 0.0000 0.0000 0.0000 1
Zn1 Zn 0.0000 0.0000 0.3267 1
Os1 Os 0.0000 0.0000 0.6628 1
```

Formation energy = 0.48 eV/f.u.
N(E_F) = 3.06 states/eV/f.u.
Total DFT energy (no corrections) = -7.960 eV per atom
E above lowest polymorph = 233 meV/atom
Volume = 190 Å³ per cell